1.
## SrNb3Te (PBE)

Data for a geometry-optimized SrNb3Te structure.

- Space-group type: No. 221
- Crystal system: cubic
- Formation energy (no corrections): 2377 meV per atom

```
5
Lattice="4.9883 0.0000 0.0000 0.0000 4.9883 0.0000 0.0000 0.0000 4.9883" Properties=species:S:1:pos:R:3 pbc="T T T"
Sr 0.0000 0.0000 0.0000
Nb 0.0000 0.0000 2.4941
Nb 0.0000 2.4941 0.0000
Nb 2.4941 0.0000 0.0000
Te 2.4941 2.4941 2.4941
```


2.
## SrNb3Te (PBE)

Data for a geometry-optimized SrNb3Te structure.

- Space-group type: No. 221
- Crystal system: cubic
- Formation energy (no corrections): 1071 meV per atom

```
5
Lattice="5.1731 0.0000 0.0000 0.0000 5.1731 0.0000 0.0000 0.0000 5.1731" Properties=species:S:1:pos:R:3 pbc="T T T"
Sr 0.0000 0.0000 0.0000
Nb 0.0000 2.5866 2.5866
Nb 2.5866 0.0000 2.5866
Nb 2.5866 2.5866 0.0000
Te 2.5866 2.5866 2.5866
```


no.,Fermi-level density of states (states/eV/cell),total energy (eV for the cell shown),size of the total moment (Bohr magnetons per cell)
1,9.31,-23.15,0.00
2,12.09,-29.68,0.00